{"formula": "Ta2ReAu", "functional": "PBE-GGA", "state": "optimized geometry", "dos_ef_per_ev_cell": 3.5, "formation_enthalpy_0k_ev_per_atom": 0.042, "energy_ev_per_atom": -9.82, "polymorph_energy_ev_per_atom": 0.149, "spacegroup": "Imm2 (44)", "magmom_total_mub_per_cell": 0.0, "lattice": [[-0.313, -3.119, 4.332], [3.356, -4.159, 0.180], [-0.207, 5.326, -0.421]], "species": ["Ta", "Ta", "Re", "Au"], "fractional_positions": [[0.011, 0.011, 0.000], [0.757, 0.257, 0.500], [0.237, 0.737, 0.500], [0.495, 0.495, 0.000]]}